(one)
A relaxed structure of SiMoCl. Source: Alexandria via LeMat-Bulk, functional PBE.

Unit cell a=3.1033 b=3.2991 c=11.1236 alpha=90.22 beta=90.15 gamma=90.00
With the nearest neighbours (Å) after each atom.
Space group P-1 (No. 2)
Asymmetric unit:
Si1 0.2494 0.2492 0.4397 x2  5 Mo 2.59-2.60, 4 Si 2.63
Mo1 0.2516 0.2522 0.6731 x2  2 Cl 2.42, 5 Si 2.59-2.60
Cl1 0.2468 0.7459 0.1594 x2  2 Mo 2.42

Values from the calculation:
DOS at the Fermi energy = 0.423 states/eV per atom
Magnetization = 0.000 μB per formula unit

=====

(two)
A relaxed structure of SiMoCl. Source: Alexandria via LeMat-Bulk, functional PBE.

Unit cell a=6.1107 b=6.1107 c=6.1107 alpha=90.00 beta=90.00 gamma=90.00
With the nearest neighbours (Å) after each atom.
Space group F-43m (No. 216)
Asymmetric unit:
Si1 0.0000 0.0000 0.0000 x4  4 Cl 2.65, 4 Mo 2.65
Mo1 0.2500 0.2500 0.7500 x4  4 Si 2.65
Cl1 0.2500 0.2500 0.2500 x4  4 Si 2.65

Values from the calculation:
DOS at the Fermi energy = 0.705 states/eV per atom
Magnetization = 1.054 μB per formula unit

=====

(three)
A relaxed structure of SiMoCl. Source: Alexandria via LeMat-Bulk, functional PBE.

Unit cell a=6.1291 b=6.1291 c=6.1291 alpha=90.00 beta=90.00 gamma=90.00
With the nearest neighbours (Å) after each atom.
Space group F-43m (No. 216)
Asymmetric unit:
Si1 0.0000 0.0000 0.0000 x4  4 Mo 2.65
Mo1 0.2500 0.2500 0.7500 x4  4 Cl 2.65, 4 Si 2.65
Cl1 0.0000 0.0000 0.5000 x4  4 Mo 2.65

Values from the calculation:
DOS at the Fermi energy = 1.066 states/eV per atom
Magnetization = 1.745 μB per formula unit

=====

(one) (1133 meV per atom below the next structure)

=====

(one)
A relaxed structure of SiMoCl. Source: Alexandria via LeMat-Bulk, functional PBE.

Unit cell a=2.8864 b=2.8864 c=13.6023 alpha=90.00 beta=90.00 gamma=90.00
With the nearest neighbours (Å) after each atom.
Space group I4mm (No. 107)
Asymmetric unit:
Si1 0.0000 0.0000 0.0000 x2  4 Mo 2.75, 4 Si 2.89
Mo1 0.0000 0.0000 0.3644 x2  4 Cl 2.59, 4 Si 2.75, 4 Mo 2.89
Cl1 0.0000 0.0000 0.7477 x2  4 Mo 2.59, 4 Cl 2.89

Values from the calculation:
DOS at the Fermi energy = 0.937 states/eV per atom
Magnetization = 0.001 μB per formula unit

=====

(two)
A relaxed structure of SiMoCl. Source: Alexandria via LeMat-Bulk, functional PBE.

Unit cell a=3.3190 b=3.4438 c=10.4749 alpha=94.33 beta=94.27 gamma=90.83
With the nearest neighbours (Å) after each atom.
Space group P1 (No. 1)
Asymmetric unit:
Si1 0.0000 0.0000 0.0000 x1  6 Mo 2.48-2.54
Si2 0.0561 0.5453 0.2451 x1  1 Cl 2.22, 1 Mo 2.45
Mo1 0.4819 0.4803 0.9248 x1  2 Cl 2.49, 4 Si 2.49-2.54
Mo2 0.5354 0.0265 0.1786 x1  6 Si 2.45-2.51, 1 Cl 2.73
Cl1 0.3658 0.8542 0.4196 x1  1 Si 2.22
Cl2 0.9396 0.4351 0.7467 x1  2 Mo 2.49

Values from the calculation:
DOS at the Fermi energy = 0.158 states/eV per atom
Magnetization = 0.000 μB per formula unit

=====

(two) (657 meV per atom below the next structure)

=====

(one)
A relaxed structure of SiMoCl. Source: Alexandria via LeMat-Bulk, functional PBE.

Unit cell a=3.1996 b=3.1996 c=22.1185 alpha=90.00 beta=90.00 gamma=90.00
With the nearest neighbours (Å) after each atom.
Space group I-4m2 (No. 119)
Asymmetric unit:
Si1 0.0000 0.0000 0.2198 x4  5 Mo 2.58-2.59, 4 Si 2.63
Mo1 0.0000 0.0000 0.3367 x4  2 Cl 2.43, 5 Si 2.58-2.59
Cl1 0.0000 0.5000 0.5804 x4  2 Mo 2.43

Values from the calculation:
DOS at the Fermi energy = 0.571 states/eV per atom
Magnetization = 0.001 μB per formula unit

=====

(two)
A relaxed structure of SiMoCl. Source: Alexandria via LeMat-Bulk, functional PBE.

Unit cell a=23.0751 b=3.1264 c=3.1855 alpha=90.00 beta=90.19 gamma=90.00
With the nearest neighbours (Å) after each atom.
Space group Cm (No. 8)
Asymmetric unit:
Si1 0.0000 0.0000 0.0000 x2  8 Mo 2.61-2.67, 1 Si 2.76
Si2 0.1197 0.0000 0.0028 x2  1 Cl 2.06
Mo1 0.0632 0.5000 0.5015 x2  8 Si 2.58-2.67, 1 Mo 2.82
Mo2 0.4409 0.0000 0.4985 x2  2 Cl 2.41, 4 Si 2.61
Cl1 0.2089 0.0000 0.0051 x2  1 Si 2.06
Cl2 0.3613 0.5000 0.4963 x2  2 Mo 2.41

Values from the calculation:
DOS at the Fermi energy = 0.608 states/eV per atom
Magnetization = 0.338 μB per formula unit

=====

(one) (84 meV per atom below the next structure)